1.
Entry from Alexandria via LeMat-Bulk: a relaxed structure of HoTh6Co3 (PBE).

Properties
DFT formation energy (meV per atom): -101.6
M_tot (μB/f.u.): 0.0
DOS(E_F) (states/eV/atom): 1.125
SG: Cmc2_1 (36)

Cell: 7.140 8.521 8.521 Å, 92.98 90.00 90.00°
Atoms (fractional coordinates):
Th 0.829 0.475 0.008
Th 0.605 0.311 0.689
Th 0.329 0.008 0.475
Th 0.069 0.681 0.702
Th 0.069 0.298 0.319
Th 0.569 0.702 0.681
Th 0.105 0.689 0.311
Th 0.569 0.319 0.298
Th 0.329 0.525 0.992
Th 0.242 0.971 0.029
Th 0.829 0.992 0.525
Th 0.742 0.029 0.971
Co 0.944 0.987 0.243
Co 0.330 0.460 0.540
Co 0.944 0.757 0.013
Co 0.444 0.243 0.987
Co 0.830 0.540 0.460
Co 0.444 0.013 0.757
Ho 0.625 0.741 0.259
Ho 0.125 0.259 0.741

2.
Entry from Alexandria via LeMat-Bulk: a relaxed structure of PmZrS2 (PBE).

Properties
Energy relative to the elements, uncorrected (eV per atom): -1.6528
M_tot (μB/f.u.): 0.0
DOS(E_F) (states/eV/atom): 0.717
SG: R3m (160)
Energy above the lowest structure with this stoichiometry (meV/atom): 0

Cell: 3.779 3.779 7.032 Å, 74.41 74.41 60.00°
Atoms (fractional coordinates):
S 0.076 0.076 0.773
S 0.258 0.258 0.226
Pm 0.495 0.495 0.516
Zr 0.671 0.671 0.986

Question: Among the records above, which one has the lowest DOS(E_F)?
Answer: PmZrS2

Question: The lowest DOS(E_F) belongs to which entry?
Answer: PmZrS2